An optimized crystal structure of YErGa2, computed with PBE-GGA.

a b c (Å): 3.6380 3.6380 25.9446
angles (deg): 90.00 90.00 120.00
With the nearest neighbours (Å) after each atom.
Space group R-3m (No. 166, hexagonal axes)
Asymmetric unit:
Y1 0.0000 0.0000 0.0000 (multiplicity 3)  6 Ga 3.03
Er1 0.0000 0.0000 0.5000 (multiplicity 3)  6 Ga 3.00
Ga1 0.0000 0.0000 0.2493 (multiplicity 6)  3 Er 3.00, 3 Y 3.03

Calculated values
Raw total energy   -18.83 eV/f.u.
DFT formation energy   -0.437 eV/atom
DOS(E_F)   5.8 states/eV/cell
Energy relative to the lowest polymorph listed for this composition   211 meV/atom